A plane-wave DFT calculation with PBE-GGA was carried out for a relaxed structure of LiLaIn2.

Structure (extended XYZ):
```
4
Lattice="-3.1706 3.8478 1.5719 -0.1710 -2.1214 4.7748 4.6131 1.1525 -2.1725" Properties=species:S:1:pos:R:3 pbc="T T T"
In 1.3857 -0.0529 2.8879
In 0.0000 0.0000 0.0000
Li -0.1141 2.9317 1.2864
La -1.6708 0.8632 3.1734
```

Values from the calculation:
Fermi-level density of states (states/eV per atom): 0.6595
Total DFT energy (no corrections) (eV/atom): -3.395
Symmetry: I-4m2, No. 119
Energy relative to the elements (eV/atom): -0.315